w | Entry from Alexandria via LeMat-Bulk: a geometry-optimized ZrReMo2 structure (PBEsol).

Its crystal system is orthorhombic. For the size of the total moment, the calculation gives 0.00 μB per formula unit.

It has space group Cmmm (No. 65), with a = 3.1479 Å, b = 4.5669 Å, c = 9.0574 Å, α = 90.00°, β = 90.00° and γ = 90.00°. The inequivalent atoms are Zr at (0.0000, 0.0000, 0.0000), Re at (0.0000, 0.0000, 0.5000) and Mo at (0.0000, 0.5000, 0.2660).

x | Entry from Alexandria via LeMat-Bulk: a geometry-optimized ZrReMo2 structure (PBEsol).

Its crystal system is monoclinic. For the size of the total moment, the calculation gives 0.00 μB per formula unit.

It has space group C2/m (No. 12), with a = 5.4990 Å, b = 8.9779 Å, c = 2.7728 Å, α = 90.00°, β = 109.54° and γ = 90.00°. The inequivalent atoms are Zr at (0.0000, 0.0000, 0.0000), Re at (0.0000, 0.5000, 0.0000) and Mo at (0.2500, 0.2500, 0.5000).

It is w that is the least stable of them.

w | Entry from Alexandria via LeMat-Bulk: a geometry-optimized MoRu2Rh structure (PBEsol).

Its crystal system is tetragonal. For the size of the total moment, the calculation gives 0.00 μB per formula unit.

It has space group P4/mmm (No. 123), with a = 3.8109 Å, b = 3.8109 Å, c = 3.7868 Å, α = 90.00°, β = 90.00° and γ = 90.00°. The inequivalent atoms are Mo at (0.0000, 0.0000, 0.0000), Ru at (0.0000, 0.5000, 0.5000) and Rh at (0.5000, 0.5000, 0.0000).

x | Entry from Alexandria via LeMat-Bulk: a geometry-optimized MoRu2Rh structure (PBEsol).

Its crystal system is monoclinic. For the size of the total moment, the calculation gives 0.00 μB per formula unit.

It has space group Cm (No. 8), with a = 8.9402 Å, b = 2.6936 Å, c = 4.6617 Å, α = 90.00°, β = 100.17° and γ = 90.00°. The inequivalent atoms are Mo at (0.0000, 0.0000, 0.0000), Ru at (0.0026, 0.5000, 0.5096), Ru at (0.2475, 0.0000, 0.7352) and Rh at (0.2509, 0.5000, 0.2448).

y | Entry from Alexandria via LeMat-Bulk: a geometry-optimized MoRu2Rh structure (PBEsol).

Its crystal system is tetragonal. For the size of the total moment, the calculation gives 0.00 μB per formula unit.

It has space group I4/mmm (No. 139), with a = 3.8300 Å, b = 3.8300 Å, c = 7.5241 Å, α = 90.00°, β = 90.00° and γ = 90.00°. The inequivalent atoms are Mo at (0.0000, 0.0000, 0.0000), Ru at (0.0000, 0.5000, 0.2500) and Rh at (0.0000, 0.0000, 0.5000).

It is x that is the least stable of them.

w | Entry from Alexandria via LeMat-Bulk: a geometry-optimized SrMo2Rh structure (PBEsol).

Its crystal system is trigonal. For the size of the total moment, the calculation gives 0.00 μB per formula unit.

It has space group R-3m (No. 166, hexagonal axes), with a = 2.8350 Å, b = 2.8350 Å, c = 30.3860 Å, α = 90.00°, β = 90.00° and γ = 120.00°. The inequivalent atoms are Sr at (0.0000, 0.0000, 0.0000), Mo at (0.0000, 0.0000, 0.2373) and Rh at (0.0000, 0.0000, 0.5000).

x | Entry from Alexandria via LeMat-Bulk: a geometry-optimized SrMo2Rh structure (PBEsol).

Its crystal system is tetragonal. For the size of the total moment, the calculation gives 0.00 μB per formula unit.

It has space group P4/mmm (No. 123), with a = 3.3487 Å, b = 3.3487 Å, c = 7.3119 Å, α = 90.00°, β = 90.00° and γ = 90.00°. The inequivalent atoms are Sr at (0.0000, 0.0000, 0.0000), Mo at (0.5000, 0.5000, 0.3426) and Rh at (0.0000, 0.0000, 0.5000).

y | Entry from Alexandria via LeMat-Bulk: a geometry-optimized SrMo2Rh structure (PBEsol).

Its crystal system is monoclinic. For the size of the total moment, the calculation gives 0.00 μB per formula unit.

It has space group C2/m (No. 12), with a = 10.2183 Å, b = 3.1018 Å, c = 5.2377 Å, α = 90.00°, β = 102.70° and γ = 90.00°. The inequivalent atoms are Sr at (0.0000, 0.0000, 0.0000), Mo at (0.2156, 0.0000, 0.6435) and Rh at (0.0000, 0.5000, 0.5000).

z | Entry from Alexandria via LeMat-Bulk: a geometry-optimized SrMo2Rh structure (PBEsol).

Its crystal system is tetragonal. For the size of the total moment, the calculation gives 0.00 μB per formula unit.

It has space group P4/mmm (No. 123), with a = 3.7860 Å, b = 3.7860 Å, c = 5.0798 Å, α = 90.00°, β = 90.00° and γ = 90.00°. The inequivalent atoms are Sr at (0.0000, 0.0000, 0.0000), Mo at (0.0000, 0.5000, 0.5000) and Rh at (0.5000, 0.5000, 0.0000).

It is z that is the least stable of them.

w | Entry from Alexandria via LeMat-Bulk: a geometry-optimized Ta2MoRh structure (PBEsol).

Its crystal system is cubic. For the size of the total moment, the calculation gives 0.00 μB per formula unit.

It has space group Fm-3m (No. 225), with a = 6.3362 Å, b = 6.3362 Å, c = 6.3362 Å, α = 90.00°, β = 90.00° and γ = 90.00°. The inequivalent atoms are Ta at (0.2500, 0.2500, 0.2500), Mo at (0.0000, 0.0000, 0.0000) and Rh at (0.0000, 0.0000, 0.5000).

x | Entry from Alexandria via LeMat-Bulk: a geometry-optimized Ta2MoRh structure (PBEsol).

Its crystal system is tetragonal. For the size of the total moment, the calculation gives 0.00 μB per formula unit.

It has space group P4/mmm (No. 123), with a = 3.1960 Å, b = 3.1960 Å, c = 6.2459 Å, α = 90.00°, β = 90.00° and γ = 90.00°. The inequivalent atoms are Ta at (0.0000, 0.0000, 0.2457), Mo at (0.5000, 0.5000, 0.0000) and Rh at (0.5000, 0.5000, 0.5000).

y | Entry from Alexandria via LeMat-Bulk: a geometry-optimized Ta2MoRh structure (PBEsol).

Its crystal system is orthorhombic. For the size of the total moment, the calculation gives 0.00 μB per formula unit.

It has space group Pmmm (No. 47), with a = 3.2963 Å, b = 4.2436 Å, c = 4.5678 Å, α = 90.00°, β = 90.00° and γ = 90.00°. The inequivalent atoms are Ta at (0.0000, 0.0000, 0.0000), Ta at (0.5000, 0.0000, 0.5000), Mo at (0.0000, 0.5000, 0.5000) and Rh at (0.5000, 0.5000, 0.0000).

It is y that is the least stable of them.

w | Entry from Alexandria via LeMat-Bulk: a geometry-optimized TcMoRh structure (PBEsol).

Its crystal system is trigonal. For the size of the total moment, the calculation gives 0.00 μB per formula unit.

It has space group P3m1 (No. 156), with a = 2.7009 Å, b = 2.7009 Å, c = 6.7588 Å, α = 90.00°, β = 90.00° and γ = 120.00°. The inequivalent atoms are Tc at (0.0000, 0.0000, 0.0000), Mo at (0.6667, 0.3333, 0.6578) and Rh at (0.3333, 0.6667, 0.3261).

x | Entry from Alexandria via LeMat-Bulk: a geometry-optimized TcMoRh structure (PBEsol).

Its crystal system is cubic. For the size of the total moment, the calculation gives 0.00 μB per formula unit.

It has space group F-43m (No. 216), with a = 5.8437 Å, b = 5.8437 Å, c = 5.8437 Å, α = 90.00°, β = 90.00° and γ = 90.00°. The inequivalent atoms are Tc at (0.0000, 0.0000, 0.0000), Mo at (0.2500, 0.2500, 0.7500) and Rh at (0.0000, 0.0000, 0.5000).

y | Entry from Alexandria via LeMat-Bulk: a geometry-optimized TcMoRh structure (PBEsol).

Its crystal system is tetragonal. For the size of the total moment, the calculation gives 0.00 μB per formula unit.

It has space group I4mm (No. 107), with a = 2.6849 Å, b = 2.6849 Å, c = 11.8238 Å, α = 90.00°, β = 90.00° and γ = 90.00°. The inequivalent atoms are Tc at (0.0000, 0.0000, 0.0000), Mo at (0.0000, 0.0000, 0.3256) and Rh at (0.0000, 0.0000, 0.6586).

It is x that is the least stable of them.

w | Entry from Alexandria via LeMat-Bulk: a geometry-optimized MoRhW2 structure (PBEsol).

Its crystal system is monoclinic. For the size of the total moment, the calculation gives 0.00 μB per formula unit.

It has space group Cm (No. 8), with a = 9.2667 Å, b = 2.7038 Å, c = 4.8851 Å, α = 90.00°, β = 99.04° and γ = 90.00°. The inequivalent atoms are Mo at (0.0000, 0.0000, 0.0000), Rh at (0.2398, 0.5000, 0.2442), W at (0.2392, 0.0000, 0.7451) and W at (0.4798, 0.0000, 0.4854).

x | Entry from Alexandria via LeMat-Bulk: a geometry-optimized MoRhW2 structure (PBEsol).

Its crystal system is cubic. For the size of the total moment, the calculation gives 0.00 μB per formula unit.

It has space group Fm-3m (No. 225), with a = 6.2334 Å, b = 6.2334 Å, c = 6.2334 Å, α = 90.00°, β = 90.00° and γ = 90.00°. The inequivalent atoms are Mo at (0.0000, 0.0000, 0.0000), Rh at (0.0000, 0.0000, 0.5000) and W at (0.2500, 0.2500, 0.2500).

It is x that is the least stable of them.

w | Entry from Alexandria via LeMat-Bulk: a geometry-optimized ZrMo2Rh structure (PBEsol).

Its crystal system is monoclinic. For the size of the total moment, the calculation gives 0.00 μB per formula unit.

It has space group Pm (No. 6), with a = 2.7896 Å, b = 4.3728 Å, c = 5.3417 Å, α = 90.00°, β = 99.99° and γ = 90.00°. The inequivalent atoms are Zr at (0.0000, 0.0000, 0.0000), Mo at (0.5380, 0.0000, 0.4903), Mo at (0.7528, 0.5000, 0.2775) and Rh at (0.2787, 0.5000, 0.7584).

x | Entry from Alexandria via LeMat-Bulk: a geometry-optimized ZrMo2Rh structure (PBEsol).

Its crystal system is cubic. For the size of the total moment, the calculation gives 0.00 μB per formula unit.

It has space group F-43m (No. 216), with a = 6.3507 Å, b = 6.3507 Å, c = 6.3507 Å, α = 90.00°, β = 90.00° and γ = 90.00°. The inequivalent atoms are Zr at (0.0000, 0.0000, 0.0000), Mo at (0.0000, 0.0000, 0.5000), Mo at (0.2500, 0.2500, 0.2500) and Rh at (0.2500, 0.2500, 0.7500).

It is w that is the least stable of them.

w | Entry from Alexandria via LeMat-Bulk: a geometry-optimized ZrMo2Rh structure (PBEsol).

Its crystal system is monoclinic. For the size of the total moment, the calculation gives 0.00 μB per formula unit.

It has space group Cm (No. 8), with a = 9.3905 Å, b = 2.7647 Å, c = 5.0779 Å, α = 90.00°, β = 98.90° and γ = 90.00°. The inequivalent atoms are Zr at (0.0000, 0.0000, 0.0000), Mo at (0.2196, 0.0000, 0.6741), Mo at (0.4577, 0.0000, 0.4888) and Rh at (0.2470, 0.5000, 0.1815).

x | Entry from Alexandria via LeMat-Bulk: a geometry-optimized ZrMo2Rh structure (PBEsol).

Its crystal system is orthorhombic. For the size of the total moment, the calculation gives 0.00 μB per formula unit.

It has space group Cmm2 (No. 35), with a = 3.2654 Å, b = 4.5206 Å, c = 8.6939 Å, α = 90.00°, β = 90.00° and γ = 90.00°. The inequivalent atoms are Zr at (0.0000, 0.0000, 0.0000), Mo at (0.0000, 0.0000, 0.5116), Mo at (0.0000, 0.5000, 0.2721) and Rh at (0.0000, 0.5000, 0.7452).

It is w that is the least stable of them.